VASP calculation (PBE) on ZnReBr2 after structural relaxation.

Results
V ... 72.6 Å³ per cell
Raw total energy ... -3.154 eV/atom
M_tot ... 0.000 μB per atom

The structure in extended XYZ format:
```
4
Lattice="0.000 3.311 3.311 3.311 0.000 3.311 3.311 3.311 0.000" Properties=species:S:1:pos:R:3 pbc="T T T"
Br 1.656 1.656 1.656
Br 4.967 4.967 4.967
Zn 0.000 0.000 0.000
Re 3.311 3.311 3.311
```